Model P:
Nb2BiF: optimized geometry, PBE-GGA.

Geometry as CIF:
```
data_Nb2BiF
_chemical_formula_sum 'Nb8 Bi4 F4'
_space_group_name_H-M_alt 'I -4 2 d'
_space_group_IT_number 122
_space_group_name_Hall 'I -4 2bw'
_cell_length_a 4.876
_cell_length_b 4.876
_cell_length_c 14.887
_cell_angle_alpha 90.00
_cell_angle_beta 90.00
_cell_angle_gamma 90.00
loop_
_atom_site_label
_atom_site_fract_x
_atom_site_fract_y
_atom_site_fract_z
_atom_site_occupancy
Nb1 0.036 0.250 0.125 1
Bi1 0.000 0.000 0.500 1
F1 0.000 0.000 0.000 1
```


Model Q:
Nb2BiF: optimized geometry, PBE-GGA.

Geometry as CIF:
```
data_Nb2BiF
_chemical_formula_sum 'Nb8 Bi4 F4'
_space_group_name_H-M_alt 'F m -3 m'
_space_group_IT_number 225
_space_group_name_Hall '-F 4 2 3'
_cell_length_a 6.643
_cell_length_b 6.643
_cell_length_c 6.643
_cell_angle_alpha 90.00
_cell_angle_beta 90.00
_cell_angle_gamma 90.00
loop_
_atom_site_label
_atom_site_fract_x
_atom_site_fract_y
_atom_site_fract_z
_atom_site_occupancy
Nb1 0.250 0.250 0.250 1
Bi1 0.000 0.000 0.000 1
F1 0.000 0.000 0.500 1
```


model Q is the most stable structure shown above.